No. 1
The following is a PBE calculation of a relaxed structure of Pm2NdTh, from Alexandria via LeMat-Bulk.

a b c (Å): 3.6464 3.6464 35.4573
angles (deg): 90.00 90.00 120.00
Closest atoms and distances in Å follow each position.
Space group R3m (No. 160, hexagonal axes)
Unique sites:
1 Pm 0.0000 0.0000 0.0000 (multiplicity 3)  3 Th 3.55, 6 Pm 3.65, 3 Nd 3.71
2 Pm 0.0000 0.0000 0.1722 (multiplicity 3)  3 Th 3.55, 6 Pm 3.65, 3 Nd 3.70
3 Nd 0.0000 0.0000 0.4196 (multiplicity 3)  6 Nd 3.65, 6 Pm 3.70-3.71
4 Th 0.0000 0.0000 0.5862 (multiplicity 3)  6 Pm 3.55, 6 Th 3.65

Calculated values
The calculation puts the volume at 408.3 Å³ per cell. The calculation puts the density of states at the Fermi level at 18.1 states/eV per cell. As for the uncorrected energy: -64.81 eV per cell. As for the density: 8.13 Mg/m³.

No. 2
The following is a PBE calculation of a relaxed structure of PmNd2Th, from Alexandria via LeMat-Bulk.

a b c (Å): 3.6549 3.6549 35.5449
angles (deg): 90.00 90.00 120.00
Closest atoms and distances in Å follow each position.
Space group R3m (No. 160, hexagonal axes)
Unique sites:
1 Pm 0.0000 0.0000 0.0000 (multiplicity 3)  6 Pm 3.65, 6 Nd 3.70-3.71
2 Nd 0.0000 0.0000 0.5810 (multiplicity 3)  3 Th 3.57, 6 Nd 3.65, 3 Pm 3.71
3 Nd 0.0000 0.0000 0.7523 (multiplicity 3)  3 Th 3.57, 6 Nd 3.65, 3 Pm 3.70
4 Th 0.0000 0.0000 0.1668 (multiplicity 3)  6 Nd 3.57, 6 Th 3.65

Calculated values
The calculation puts the volume at 411.2 Å³ per cell. The calculation puts the density of states at the Fermi level at 18.7 states/eV per cell. As for the uncorrected energy: -64.79 eV per cell. As for the density: 8.06 Mg/m³.

No. 3
The following is a PBE calculation of a relaxed structure of Pm2Nd5Th3, from Alexandria via LeMat-Bulk.

a b c (Å): 11.5649 5.1239 11.5191
angles (deg): 90.00 90.23 90.00
Closest atoms and distances in Å follow each position.
Space group C2/m (No. 12)
Unique sites:
1 Pm 0.0982 0.0000 0.2064 (multiplicity 4)  4 Th 3.57-3.69, 8 Nd 3.61-3.77
2 Nd 0.0000 0.5000 0.0000 (multiplicity 2)  6 Nd 3.64-3.69, 4 Pm 3.67, 2 Th 3.68
3 Nd 0.1981 0.0000 0.8955 (multiplicity 4)  4 Pm 3.62-3.77, 2 Th 3.63, 6 Nd 3.64-3.71
4 Nd 0.1995 0.5000 0.4029 (multiplicity 4)  7 Th 3.59-3.66, 3 Nd 3.59-3.64, 2 Pm 3.61
5 Th 0.0000 0.0000 0.5000 (multiplicity 2)  2 Pm 3.57, 4 Th 3.60, 6 Nd 3.63-3.65
6 Th 0.0973 0.5000 0.6964 (multiplicity 4)  7 Nd 3.59-3.68, 2 Th 3.60, 3 Pm 3.60-3.69

Calculated values
The calculation puts the volume at 682.6 Å³ per cell. The calculation puts the density of states at the Fermi level at 29.2 states/eV per cell. As for the uncorrected energy: -110.05 eV per cell. As for the density: 8.31 Mg/m³.

No. 4
The following is a PBE calculation of a relaxed structure of PmNd6Th2, from Alexandria via LeMat-Bulk.

a b c (Å): 3.6320 3.6320 27.3537
angles (deg): 90.00 90.00 120.00
Closest atoms and distances in Å follow each position.
Space group P-6m2 (No. 187)
Unique sites:
1 Pm 0.0000 0.0000 0.0000 (multiplicity 1)  6 Pm 3.63, 6 Nd 3.66
2 Nd 0.0000 0.0000 0.2221 (multiplicity 2)  9 Nd 3.63-3.72, 3 Th 3.63
3 Nd 0.0000 0.0000 0.4368 (multiplicity 2)  7 Nd 3.46-3.63, 3 Th 3.58
4 Nd 0.3333 0.6667 0.1098 (multiplicity 2)  9 Nd 3.63-3.72, 3 Pm 3.66
5 Th 0.3333 0.6667 0.3306 (multiplicity 2)  6 Nd 3.58-3.63, 6 Th 3.63

Calculated values
The calculation puts the volume at 312.5 Å³ per cell. The calculation puts the density of states at the Fermi level at 17.4 states/eV per cell. As for the uncorrected energy: -47.51 eV per cell. As for the density: 7.84 Mg/m³.

No. 5
The following is a PBE calculation of a relaxed structure of Pm4Nd4Th, from Alexandria via LeMat-Bulk.

a b c (Å): 10.9597 10.9597 5.1896
angles (deg): 90.00 90.00 90.00
Closest atoms and distances in Å follow each position.
Space group I4/mmm (No. 139)
Unique sites:
1 Pm 0.0000 0.3305 0.0000 (multiplicity 8)  1 Th 3.62, 6 Nd 3.65-3.70, 5 Pm 3.69-3.72
2 Nd 0.1625 0.1625 0.5000 (multiplicity 8)  4 Nd 3.56-3.75, 2 Th 3.62, 6 Pm 3.65-3.70
3 Th 0.0000 0.0000 0.0000 (multiplicity 2)  8 Nd 3.62, 4 Pm 3.62

Calculated values
The calculation puts the volume at 623.3 Å³ per cell. The calculation puts the density of states at the Fermi level at 27.9 states/eV per cell. As for the uncorrected energy: -90.42 eV per cell. As for the density: 7.40 Mg/m³.

No. 6
The following is a PBE calculation of a relaxed structure of Pm2Nd7Th2, from Alexandria via LeMat-Bulk.

a b c (Å): 17.7170 11.9909 3.6603
angles (deg): 90.00 97.92 90.00
Closest atoms and distances in Å follow each position.
Space group C2/m (No. 12)
Unique sites:
1 Pm 0.2063 0.0000 0.1558 (multiplicity 4)  7 Nd 3.50-3.84, 2 Pm 3.66
2 Nd 0.0000 0.0000 0.5000 (multiplicity 2)  4 Th 3.57, 2 Nd 3.66
3 Nd 0.0970 0.5000 0.2552 (multiplicity 4)  2 Th 3.46, 5 Nd 3.51-3.68, 1 Pm 3.84
4 Nd 0.1644 0.2471 0.6587 (multiplicity 8)  2 Th 3.33-3.52, 5 Nd 3.39-3.66, 2 Pm 3.50-3.62
5 Th 0.0000 0.2553 0.0000 (multiplicity 4)  8 Nd 3.33-3.57, 2 Th 3.66

Calculated values
The calculation puts the volume at 770.2 Å³ per cell. The calculation puts the density of states at the Fermi level at 33.8 states/eV per cell. As for the uncorrected energy: -112.04 eV per cell. As for the density: 7.61 Mg/m³.

No. 7
The following is a PBE calculation of a relaxed structure of Pm10Nd6Th, from Alexandria via LeMat-Bulk.

a b c (Å): 9.8845 9.8845 7.0600
angles (deg): 90.00 90.00 120.00
Closest atoms and distances in Å follow each position.
Space group P-31m (No. 162)
Unique sites:
1 Pm 0.0000 0.2715 0.3151 (multiplicity 6)  5 Nd 3.41-3.76, 1 Th 3.49, 2 Pm 3.74
2 Pm 0.3333 0.6667 0.0000 (multiplicity 2)  6 Nd 3.41, 2 Pm 3.53
3 Pm 0.3333 0.6667 0.5000 (multiplicity 2)  8 Pm 3.53-3.87, 6 Nd 3.77
4 Nd 0.0000 0.3739 0.8016 (multiplicity 6)  9 Pm 3.41-3.77, 1 Nd 3.75
5 Th 0.0000 0.0000 0.0000 (multiplicity 1)  6 Pm 3.49

Calculated values
The calculation puts the volume at 597.4 Å³ per cell. The calculation puts the density of states at the Fermi level at 26.0 states/eV per cell. As for the uncorrected energy: -81.11 eV per cell. As for the density: 7.08 Mg/m³.

No. 8
The following is a PBE calculation of a relaxed structure of PmNd14Th, from Alexandria via LeMat-Bulk.

a b c (Å): 7.3356 7.3356 10.4328
angles (deg): 90.00 90.00 90.00
Closest atoms and distances in Å follow each position.
Space group P4/mmm (No. 123)
Unique sites:
1 Pm 0.0000 0.0000 0.0000 (multiplicity 1)  12 Nd 3.67-3.68
2 Nd 0.0000 0.0000 0.5000 (multiplicity 1)  12 Nd 3.67-3.72
3 Nd 0.0000 0.5000 0.0000 (multiplicity 2)  8 Nd 3.66, 2 Th 3.67, 2 Pm 3.67
4 Nd 0.0000 0.5000 0.5000 (multiplicity 2)  12 Nd 3.67-3.70
5 Nd 0.2530 0.2530 0.2471 (multiplicity 8)  10 Nd 3.62-3.72, 1 Th 3.63, 1 Pm 3.68
6 Nd 0.5000 0.5000 0.5000 (multiplicity 1)  12 Nd 3.67-3.68
7 Th 0.5000 0.5000 0.0000 (multiplicity 1)  12 Nd 3.63-3.67

Calculated values
The calculation puts the volume at 561.4 Å³ per cell. The calculation puts the density of states at the Fermi level at 25.2 states/eV per cell. As for the uncorrected energy: -78.55 eV per cell. As for the density: 7.09 Mg/m³.

No. 9
The following is a PBE calculation of a relaxed structure of Pm6Nd5Th, from Alexandria via LeMat-Bulk.

a b c (Å): 6.3478 10.9773 12.1220
angles (deg): 90.00 100.04 90.00
Closest atoms and distances in Å follow each position.
Space group C2/m (No. 12)
Unique sites:
1 Pm 0.2463 0.1643 0.2477 (multiplicity 8)  6 Pm 3.61-3.69, 1 Th 3.62, 5 Nd 3.64-3.70
2 Pm 0.2466 0.0000 0.7522 (multiplicity 4)  6 Pm 3.61-3.69, 1 Th 3.62, 5 Nd 3.64-3.69
3 Nd 0.0000 0.1667 0.5000 (multiplicity 4)  6 Nd 3.66, 6 Pm 3.67-3.70
4 Nd 0.0000 0.3336 0.0000 (multiplicity 4)  6 Pm 3.64-3.65, 3 Nd 3.65-3.67, 3 Th 3.66
5 Nd 0.0000 0.5000 0.5000 (multiplicity 2)  6 Nd 3.66, 6 Pm 3.67-3.69
6 Th 0.0000 0.0000 0.0000 (multiplicity 2)  6 Pm 3.62, 6 Nd 3.66

Calculated values
The calculation puts the volume at 831.8 Å³ per cell. The calculation puts the density of states at the Fermi level at 36.0 states/eV per cell. As for the uncorrected energy: -118.86 eV per cell. As for the density: 7.28 Mg/m³.

No. 10
The following is a PBE calculation of a relaxed structure of Pm8Nd4Th, from Alexandria via LeMat-Bulk.

a b c (Å): 11.8319 11.8319 11.7458
angles (deg): 90.00 90.00 120.00
Closest atoms and distances in Å follow each position.
Space group R-3m (No. 166, hexagonal axes)
Unique sites:
1 Pm 0.0000 0.0000 0.2392 (multiplicity 6)  1 Nd 2.81, 1 Th 3.06
2 Pm 0.9996 0.4998 0.3313 (multiplicity 18)  3 Nd 3.41-3.42, 3 Pm 3.41-3.60
3 Nd 0.0000 0.0000 0.0000 (multiplicity 3)  2 Pm 2.81
4 Nd 0.0000 0.5000 0.0000 (multiplicity 9)  6 Pm 3.42-3.59
5 Th 0.0000 0.0000 0.5000 (multiplicity 3)  2 Pm 3.06

Calculated values
The calculation puts the volume at 1424.0 Å³ per cell. The calculation puts the density of states at the Fermi level at 71.2 states/eV per cell. As for the uncorrected energy: -177.52 eV per cell. As for the density: 6.89 Mg/m³.

No. 11
The following is a PBE calculation of a relaxed structure of Pm2NdTh, from Alexandria via LeMat-Bulk.

a b c (Å): 5.1416 5.1416 5.1313
angles (deg): 90.00 90.00 90.00
Closest atoms and distances in Å follow each position.
Space group P4/mmm (No. 123)
Unique sites:
1 Pm 0.0000 0.5000 0.0000 (multiplicity 2)  4 Th 3.63, 4 Nd 3.63, 4 Pm 3.64
2 Nd 0.0000 0.0000 0.5000 (multiplicity 1)  8 Pm 3.63, 4 Th 3.64
3 Th 0.5000 0.5000 0.5000 (multiplicity 1)  8 Pm 3.63, 4 Nd 3.64

Calculated values
The calculation puts the volume at 135.7 Å³ per cell. The calculation puts the density of states at the Fermi level at 4.7 states/eV per cell. As for the uncorrected energy: -21.45 eV per cell. As for the density: 8.16 Mg/m³.